A relaxed CaZrZn crystal, computed with PBE.

a b c (Å): 6.7722 6.7722 3.3938
angles (deg): 75.49 75.49 29.02
Element x y z (fractional)
Zn: 0.3170 0.3170 0.6830
Ca: 0.9843 0.9843 0.0157
Zr: 0.6986 0.6986 0.3014

Calculated values
Offset from the most stable computed form, meV per atom: 68
DOS(E_F), states/eV per cell: 1.31
Energy of formation, eV per atom: -0.0194
SG: I4mm, No. 107

A relaxed CaZr crystal, computed with PBE.

a b c (Å): 6.3267 6.3267 6.3267
angles (deg): 90.00 90.00 90.00
Element x y z (fractional)
Ca: 0.0000 0.0000 0.0000
Ca: 0.0000 0.5000 0.5000
Ca: 0.5000 0.0000 0.5000
Ca: 0.5000 0.5000 0.0000
Zr: 0.5000 0.5000 0.5000
Zr: 0.5000 0.0000 0.0000
Zr: 0.0000 0.5000 0.0000
Zr: 0.0000 0.0000 0.5000

Calculated values
Offset from the most stable computed form, meV per atom: 1088
DOS(E_F), states/eV per cell: 12.05
Energy of formation, eV per atom: 1.2802
SG: Fm-3m, No. 225

A relaxed CaZr crystal, computed with PBE.

a b c (Å): 12.5140 12.5140 3.1699
angles (deg): 90.00 90.00 90.00
Element x y z (fractional)
Ca: 0.3792 0.8310 0.0000
Ca: 0.6208 0.1690 0.0000
Ca: 0.1690 0.3792 0.0000
Ca: 0.8310 0.6208 0.0000
Ca: 0.8792 0.3310 0.5000
Ca: 0.1208 0.6690 0.5000
Ca: 0.6690 0.8792 0.5000
Ca: 0.3310 0.1208 0.5000
Zr: 0.4321 0.3506 0.0000
Zr: 0.5679 0.6494 0.0000
Zr: 0.6494 0.4321 0.0000
Zr: 0.3506 0.5679 0.0000
Zr: 0.9321 0.8506 0.5000
Zr: 0.0679 0.1494 0.5000
Zr: 0.1494 0.9321 0.5000
Zr: 0.8506 0.0679 0.5000

Calculated values
Offset from the most stable computed form, meV per atom: 374
DOS(E_F), states/eV per cell: 24.56
Energy of formation, eV per atom: 0.5661
SG: I4/m, No. 87

A relaxed Ca3Zr crystal, computed with PBE.

a b c (Å): 6.3187 6.3187 6.4694
angles (deg): 80.84 80.84 32.63
Element x y z (fractional)
Ca: 0.5000 0.5000 0.5000
Ca: 0.2582 0.2582 0.2330
Ca: 0.7418 0.7418 0.7670
Zr: 0.0000 0.0000 0.0000

Calculated values
Offset from the most stable computed form, meV per atom: 64
DOS(E_F), states/eV per cell: 4.29
Energy of formation, eV per atom: 0.3217
SG: C2/m, No. 12

A relaxed CaZr5 crystal, computed with PBE.

a b c (Å): 6.3272 6.3272 7.7442
angles (deg): 76.60 76.60 29.69
Element x y z (fractional)
Ca: 0.0005 0.0005 0.9941
Zr: 0.3273 0.3273 0.3398
Zr: 0.6804 0.6804 0.6550
Zr: 0.6116 0.6116 0.2943
Zr: 0.9449 0.9449 0.6022
Zr: 0.2686 0.2686 0.9480

Calculated values
DOS(E_F), states/eV per cell: 7.74
Energy of formation, eV per atom: 0.1632
SG: Cm, No. 8

A relaxed Ca3Zr crystal, computed with PBE.

a b c (Å): 3.5908 3.5908 12.1988
angles (deg): 90.00 90.00 120.00
Element x y z (fractional)
Ca: 0.0000 0.0000 0.9749
Ca: 0.0000 0.0000 0.5251
Ca: 0.6667 0.3333 0.2500
Zr: 0.6667 0.3333 0.7500

Calculated values
Offset from the most stable computed form, meV per atom: 0
DOS(E_F), states/eV per cell: 7.07
Energy of formation, eV per atom: 0.2572
SG: P-6m2, No. 187

A relaxed Ca3Zr crystal, computed with PBE.

a b c (Å): 6.8351 6.8351 6.8351
angles (deg): 117.23 117.23 117.23
Element x y z (fractional)
Ca: 0.0000 0.0000 0.0000
Ca: 0.5000 0.5000 0.0000
Ca: 0.0000 0.5000 0.5000
Zr: 0.5000 0.0000 0.5000

Calculated values
Offset from the most stable computed form, meV per atom: 92
DOS(E_F), states/eV per cell: 5.01
Energy of formation, eV per atom: 0.3495
SG: R-3m, No. 166

A relaxed CaZr crystal, computed with PBE.

a b c (Å): 5.1733 5.1733 15.4341
angles (deg): 90.00 90.00 120.00
Element x y z (fractional)
Ca: 0.0000 0.0000 0.1148
Ca: 0.0000 0.0000 0.8852
Ca: 0.3333 0.6667 0.4481
Ca: 0.3333 0.6667 0.2186
Ca: 0.6667 0.3333 0.7814
Ca: 0.6667 0.3333 0.5519
Zr: 0.0000 0.0000 0.3441
Zr: 0.0000 0.0000 0.6559
Zr: 0.3333 0.6667 0.6774
Zr: 0.3333 0.6667 0.9892
Zr: 0.6667 0.3333 0.0108
Zr: 0.6667 0.3333 0.3226

Calculated values
Offset from the most stable computed form, meV per atom: 304
DOS(E_F), states/eV per cell: 25.77
Energy of formation, eV per atom: 0.4958
SG: R-3m, No. 166

A relaxed CaZr crystal, computed with PBE.

a b c (Å): 4.2336 8.3845 3.4742
angles (deg): 90.00 90.00 90.00
Element x y z (fractional)
Ca: 0.0000 0.1661 0.5000
Ca: 0.5000 0.8339 0.0000
Zr: 0.0000 0.5755 0.5000
Zr: 0.5000 0.4245 0.0000

Calculated values
Offset from the most stable computed form, meV per atom: 22
DOS(E_F), states/eV per cell: 6.01
Energy of formation, eV per atom: 0.2142
SG: Pmmn, No. 59

A relaxed Ca3Zr crystal, computed with PBE.

a b c (Å): 7.3512 7.3512 11.8740
angles (deg): 90.00 90.00 120.00
Element x y z (fractional)
Ca: 0.5000 0.0000 0.0000
Ca: 0.5000 0.0000 0.5000
Ca: 0.0000 0.5000 0.0000
Ca: 0.5000 0.5000 0.0000
Ca: 0.5000 0.5000 0.5000
Ca: 0.0000 0.5000 0.5000
Ca: 0.8403 0.6806 0.2500
Ca: 0.1597 0.3194 0.7500
Ca: 0.3194 0.1597 0.2500
Ca: 0.8403 0.1597 0.2500
Ca: 0.1597 0.8403 0.7500
Ca: 0.6806 0.8403 0.7500
Zr: 0.0000 0.0000 0.0000
Zr: 0.0000 0.0000 0.5000
Zr: 0.3333 0.6667 0.2500
Zr: 0.6667 0.3333 0.7500

Calculated values
Offset from the most stable computed form, meV per atom: 117
DOS(E_F), states/eV per cell: 20.72
Energy of formation, eV per atom: 0.3740
SG: P6_3/mmc, No. 194

A relaxed CaZr3 crystal, computed with PBE.

a b c (Å): 6.2921 6.2921 6.2921
angles (deg): 117.52 117.52 117.52
Element x y z (fractional)
Ca: 0.0000 0.0000 0.0000
Zr: 0.5000 0.0000 0.5000
Zr: 0.5000 0.5000 0.0000
Zr: 0.0000 0.5000 0.5000

Calculated values
DOS(E_F), states/eV per cell: 6.66
Energy of formation, eV per atom: 0.3593
SG: R-3m, No. 166

A relaxed Ca3Zr crystal, computed with PBE.

a b c (Å): 5.1771 5.1771 5.1771
angles (deg): 90.00 90.00 90.00
Element x y z (fractional)
Ca: 0.0000 0.5000 0.5000
Ca: 0.5000 0.0000 0.5000
Ca: 0.5000 0.5000 0.0000
Zr: 0.0000 0.0000 0.0000

Calculated values
Offset from the most stable computed form, meV per atom: 126
DOS(E_F), states/eV per cell: 5.84
Energy of formation, eV per atom: 0.3830
SG: Pm-3m, No. 221

- Look up the DOS(E_F) of the second one.
  12.05 states/eV per cell

- The highest energy of formation belongs to which entry?
  number 2

- What is the energy of formation in the seventh record?
  0.3495 eV per atom

- Which of these has the lowest energy of formation?
  CaZrZn